Record 1
First-principles (PBE) data for LaTb5Pm2Er after structural relaxation, as listed in Alexandria.

Results
The value obtained for the spin magnetization is 0.01 Bohr magnetons per cell. The formation energy comes out at 0.2655 eV per atom. The density of states at the Fermi level is 1.18 states/eV/atom. For the theoretical density, the calculation gives 7.7 g/cm3.

a b c (Å): 8.798 8.798 15.530
angles (deg): 90.00 90.00 90.00
Space group I4/mcm (No. 140)
Asymmetric unit:
La 0.000 0.000 0.250 x4
Tb 0.000 0.000 0.000 x4
Tb 0.209 0.291 0.136 x16
Pm 0.117 0.383 0.500 x8
Er 0.000 0.500 0.250 x4

---

Record 2
First-principles (PBE) data for Ba2TcBr after structural relaxation, as listed in Alexandria.

Results
The energy above the lowest structure with this stoichiometry is 234.9 meV per atom. The value obtained for the spin magnetization is 8.11 Bohr magnetons per cell. The calculation puts the raw formation energy at 113 meV/atom. The density of states at the Fermi level is 0.78 states/eV/atom. For the theoretical density, the calculation gives 5.6 g/cm3.

a b c (Å): 8.127 8.127 8.127
angles (deg): 90.00 90.00 90.00
Space group Fm-3m (No. 225)
Asymmetric unit:
Ba 0.250 0.250 0.250 x8
Tc 0.000 0.000 0.000 x4
Br 0.000 0.000 0.500 x4

---

Record 3
First-principles (PBE) data for K3TlBi2 after structural relaxation, as listed in Alexandria.

Results
The value obtained for the spin magnetization is 0.00 Bohr magnetons per cell. The formation energy comes out at -0.2859 eV per atom. The density of states at the Fermi level is 0.69 states/eV/atom. For the theoretical density, the calculation gives 4.6 g/cm3.

a b c (Å): 8.760 15.508 7.893
angles (deg): 90.00 90.00 90.00
Space group Ibam (No. 72)
Asymmetric unit:
K 0.000 0.000 0.250 x4
K 0.184 0.326 0.000 x8
Tl 0.000 0.500 0.250 x4
Bi 0.206 0.398 0.500 x8

---

Record 4
First-principles (PBE) data for Ac6HgPt2Rh after structural relaxation, as listed in Alexandria.

Results
The value obtained for the spin magnetization is 0.00 Bohr magnetons per cell. The formation energy comes out at -0.6917 eV per atom. The density of states at the Fermi level is 0.85 states/eV/atom. For the theoretical density, the calculation gives 9.2 g/cm3.

a b c (Å): 7.7973 7.7973 21.2116
angles (deg): 90.00 90.00 120.00
Space group R3 (No. 146, hexagonal axes)
Asymmetric unit:
Ac 0.9996 0.3321 0.0000 x9
Ac 0.0548 0.7075 0.8277 x9
Hg 0.0000 0.0000 0.5626 x3
Pt 0.0000 0.0000 0.2562 x3
Pt 0.0000 0.0000 0.7452 x3
Rh 0.0000 0.0000 0.0721 x3

---

Record 5
First-principles (PBE) data for Li3Ni2Ge4Pd2 after structural relaxation, as listed in Alexandria.

Results
The value obtained for the spin magnetization is 0.00 Bohr magnetons per cell. The formation energy comes out at -0.4106 eV per atom. The density of states at the Fermi level is 0.18 states/eV/atom. For the theoretical density, the calculation gives 6.7 g/cm3.

a b c (Å): 4.3275 4.3275 9.8413
angles (deg): 90.00 90.00 120.00
Space group P-3m1 (No. 164)
Asymmetric unit:
Li 0.0000 0.0000 0.0000 x1
Li 0.0000 0.0000 0.2848 x2
Ni 0.3333 0.6667 0.6579 x2
Ge 0.3333 0.6667 0.4204 x2
Ge 0.3333 0.6667 0.8989 x2
Pd 0.3333 0.6667 0.1639 x2

---

Record 6
First-principles (PBE) data for KCa2CdFe after structural relaxation, as listed in Alexandria.

Results
The value obtained for the spin magnetization is 1.79 Bohr magnetons per cell. The formation energy comes out at 0.5350 eV per atom. The density of states at the Fermi level is 1.00 states/eV/atom. For the theoretical density, the calculation gives 2.7 g/cm3.

a b c (Å): 5.499 5.499 5.950
angles (deg): 90.00 90.00 90.00
Space group P4/mmm (No. 123)
Asymmetric unit:
K 0.000 0.000 0.000 x1
Ca 0.000 0.500 0.500 x2
Cd 0.500 0.500 0.000 x1
Fe 0.000 0.000 0.500 x1

---

Record 7
First-principles (PBE) data for AsIrClO after structural relaxation, as listed in Alexandria.

Results
The energy above the lowest structure with this stoichiometry is 137.0 meV per atom. The value obtained for the spin magnetization is 0.00 Bohr magnetons per cell. The calculation puts the raw formation energy at -314 meV/atom. The density of states at the Fermi level is 0.39 states/eV/atom. For the theoretical density, the calculation gives 6.3 g/cm3.

a b c (Å): 8.356 3.001 6.717
angles (deg): 90.00 94.02 90.00
Space group Cm (No. 8)
Asymmetric unit:
As 0.000 0.000 0.000 x2
Ir 0.390 0.000 0.245 x2
Cl 0.108 0.500 0.473 x2
O 0.210 0.000 0.034 x2

---

Record 8
First-principles (PBE) data for KRe2Ru after structural relaxation, as listed in Alexandria.

Results
The energy above the lowest structure with this stoichiometry is 421.0 meV per atom. The value obtained for the spin magnetization is 0.00 Bohr magnetons per cell. The formation energy comes out at 1.1256 eV per atom. The density of states at the Fermi level is 0.65 states/eV/atom. For the theoretical density, the calculation gives 11.8 g/cm3.

a b c (Å): 11.853 2.677 5.027
angles (deg): 90.00 115.02 90.00
Space group C2/m (No. 12)
Asymmetric unit:
K 0.000 0.000 0.000 x2
Re 0.211 0.000 0.710 x4
Ru 0.000 0.500 0.500 x2

---

Record 9
First-principles (PBE) data for TlAs2Pd3 after structural relaxation, as listed in Alexandria.

Results
The value obtained for the spin magnetization is 0.00 Bohr magnetons per cell. The formation energy comes out at -0.2317 eV per atom. The density of states at the Fermi level is 0.34 states/eV/atom. For the theoretical density, the calculation gives 9.3 g/cm3.

a b c (Å): 20.594 3.522 6.847
angles (deg): 90.00 105.25 90.00
Space group C2/m (No. 12)
Asymmetric unit:
Tl 0.144 0.000 0.067 x4
As 0.000 0.500 0.190 x4
As 0.196 0.000 0.681 x4
Pd 0.074 0.000 0.370 x4
Pd 0.111 0.500 0.718 x4
Pd 0.191 0.500 0.412 x4

---

Record 10
First-principles (PBE) data for Sr2MgNpS5 after structural relaxation, as listed in Alexandria.

Results
The value obtained for the spin magnetization is 12.00 Bohr magnetons per cell. The calculation puts the raw formation energy at -1671 meV/atom. The density of states at the Fermi level is 1.11 states/eV/atom. For the theoretical density, the calculation gives 4.5 g/cm3.

a b c (Å): 4.099 16.952 12.713
angles (deg): 90.00 90.00 90.00
Space group Cmc2_1 (No. 36)
Asymmetric unit:
Sr 0.000 0.101 0.000 x4
Sr 0.000 0.128 0.623 x4
Mg 0.000 0.470 0.776 x4
Np 0.000 0.214 0.334 x4
S 0.000 0.059 0.373 x4
S 0.000 0.280 0.974 x4
S 0.000 0.306 0.698 x4
S 0.000 0.371 0.318 x4
S 0.000 0.497 0.093 x4

---

Record 11
First-principles (PBE) data for NaTm4ThS8 after structural relaxation, as listed in Alexandria.

Results
The value obtained for the spin magnetization is 0.00 Bohr magnetons per cell. The calculation puts the raw formation energy at -1885 meV/atom. The density of states at the Fermi level is 0.28 states/eV/atom. For the theoretical density, the calculation gives 5.4 g/cm3.

a b c (Å): 7.9763 7.9763 20.0506
angles (deg): 90.00 90.00 120.00
Space group R3m (No. 160, hexagonal axes)
Asymmetric unit:
Na 0.0000 0.0000 0.0000 x3
Tm 0.0000 0.0000 0.2572 x3
Tm 0.1718 0.3435 0.4611 x9
Th 0.0000 0.0000 0.6320 x3
S 0.0000 0.0000 0.3883 x3
S 0.0000 0.0000 0.8666 x3
S 0.0249 0.5125 0.3849 x9
S 0.1740 0.3480 0.2068 x9

---

Record 12
First-principles (PBE) data for Tb2YHo6 after structural relaxation, as listed in Alexandria.

Results
The energy above the lowest structure with this stoichiometry is 0.0 meV per atom. The value obtained for the spin magnetization is 0.00 Bohr magnetons per cell. The formation energy comes out at 0.0192 eV per atom. The density of states at the Fermi level is 1.39 states/eV/atom. For the theoretical density, the calculation gives 8.2 g/cm3.

a b c (Å): 3.541 8.656 9.358
angles (deg): 89.99 79.16 89.94
Space group P-1 (No. 2)
Asymmetric unit:
Tb 0.056 0.165 0.388 x2
Y 0.500 0.500 0.500 x1
Ho 0.167 0.500 0.165 x2
Ho 0.278 0.833 0.945 x2
Ho 0.388 0.167 0.724 x2

---

Record 13
First-principles (PBE) data for InGeS after structural relaxation, as listed in Alexandria.

Results
The energy above the lowest structure with this stoichiometry is 0.0 meV per atom. The value obtained for the spin magnetization is 0.00 Bohr magnetons per cell. The calculation puts the raw formation energy at -154 meV/atom. The density of states at the Fermi level is 0.34 states/eV/atom. For the theoretical density, the calculation gives 4.9 g/cm3.

a b c (Å): 3.8041 3.8041 35.8920
angles (deg): 90.00 90.00 120.00
Space group R-3m (No. 166, hexagonal axes)
Asymmetric unit:
In 0.0000 0.0000 0.0808 x6
Ge 0.0000 0.0000 0.3531 x6
S 0.0000 0.0000 0.2171 x6

---

Record 14
First-principles (PBE) data for TaAgIrSe after structural relaxation, as listed in Alexandria.

Results
The energy above the lowest structure with this stoichiometry is 43.0 meV per atom. The value obtained for the spin magnetization is 0.00 Bohr magnetons per cell. The calculation puts the raw formation energy at -155 meV/atom. The density of states at the Fermi level is 0.42 states/eV/atom. For the theoretical density, the calculation gives 11.1 g/cm3.

a b c (Å): 5.980 3.545 8.145
angles (deg): 90.00 104.09 90.00
Space group Cm (No. 8)
Asymmetric unit:
Ta 0.000 0.000 0.000 x2
Ag 0.150 0.000 0.446 x2
Ir 0.403 0.000 0.193 x2
Se 0.261 0.000 0.778 x2

---

Record 15
First-principles (PBE) data for MnInPd3 after structural relaxation, as listed in Alexandria.

Results
The energy above the lowest structure with this stoichiometry is 27.7 meV per atom. The value obtained for the spin magnetization is 8.78 Bohr magnetons per cell. The formation energy comes out at -0.3376 eV per atom. The density of states at the Fermi level is 0.49 states/eV/atom. For the theoretical density, the calculation gives 10.0 g/cm3.

a b c (Å): 4.135 5.624 7.302
angles (deg): 86.48 73.63 89.99
Space group P-1 (No. 2)
Asymmetric unit:
Mn 0.200 0.347 0.101 x2
In 0.396 0.974 0.708 x2
Pd 0.006 0.254 0.488 x2
Pd 0.204 0.830 0.091 x2
Pd 0.392 0.469 0.716 x2

---

Record 16
First-principles (PBE) data for TbYZnNi after structural relaxation, as listed in Alexandria.

Results
The energy above the lowest structure with this stoichiometry is 0.0 meV per atom. The value obtained for the spin magnetization is 0.00 Bohr magnetons per cell. The formation energy comes out at -0.3645 eV per atom. The density of states at the Fermi level is 0.88 states/eV/atom. For the theoretical density, the calculation gives 7.3 g/cm3.

a b c (Å): 3.481 3.481 6.995
angles (deg): 90.00 90.00 90.00
Space group P4mm (No. 99)
Asymmetric unit:
Tb 0.000 0.000 0.000 x1
Y 0.000 0.000 0.530 x1
Zn 0.500 0.500 0.266 x1
Ni 0.500 0.500 0.769 x1

---

Record 17
First-principles (PBE) data for KRbO after structural relaxation, as listed in Alexandria.

Results
The value obtained for the spin magnetization is 0.12 Bohr magnetons per cell. The calculation puts the raw formation energy at -956 meV/atom. For the theoretical density, the calculation gives 3.1 g/cm3.

a b c (Å): 4.718 4.743 6.671
angles (deg): 90.00 90.00 90.00
Space group Pmmn (No. 59, origin choice 2)
Asymmetric unit:
K 0.250 0.250 0.004 x2
Rb 0.250 0.250 0.505 x2
O 0.250 0.750 0.761 x2

---

Record 18
First-principles (PBE) data for Ti2ZnSiMo after structural relaxation, as listed in Alexandria.

Results
The value obtained for the spin magnetization is 0.00 Bohr magnetons per cell. The calculation puts the raw formation energy at 698 meV/atom. The density of states at the Fermi level is 0.93 states/eV/atom. For the theoretical density, the calculation gives 4.5 g/cm3.

a b c (Å): 4.723 4.723 4.711
angles (deg): 90.00 90.00 90.00
Space group P4/mmm (No. 123)
Asymmetric unit:
Ti 0.000 0.500 0.000 x2
Zn 0.000 0.000 0.500 x1
Si 0.500 0.500 0.500 x1
Mo 0.500 0.500 0.000 x1